Entry 1:
The following is a PBE-GGA calculation of a relaxed PuPa5Bi5 crystal, from the Alexandria database.

- V (Å³/f.u.) = 344.0
- formation energy (eV per atom) = 0.0351

abc: 6.125 7.583 8.280
angles: 101.05 90.00 113.82
Fractional positions:
Bi 0.500 0.000 0.000
Pa 0.654 0.308 0.375
Pa 0.000 0.000 0.500
Bi 0.176 0.353 0.301
Pa 0.591 0.182 0.664
Pa 0.346 0.692 0.625
Pu 0.000 0.000 0.000
Bi 0.177 0.355 0.824
Bi 0.824 0.647 0.699
Bi 0.823 0.645 0.176
Pa 0.409 0.818 0.336

---

Entry 2:
The following is a PBE-GGA calculation of a relaxed Pu3PaBi12 crystal, from the Alexandria database.

- V (Å³/f.u.) = 479.5
- formation energy (eV per atom) = -0.2204

abc: 4.930 4.930 19.725
angles: 90.00 90.00 90.00
Fractional positions:
Bi 0.500 0.500 0.750
Pu 0.000 0.000 0.248
Bi 0.500 0.000 0.877
Bi 0.000 0.500 0.123
Bi 0.500 0.500 0.000
Bi 0.000 0.500 0.626
Bi 0.500 0.000 0.374
Pa 0.000 0.000 0.000
Bi 0.000 0.500 0.374
Pu 0.000 0.000 0.752
Pu 0.000 0.000 0.500
Bi 0.000 0.500 0.877
Bi 0.500 0.500 0.250
Bi 0.500 0.500 0.500
Bi 0.500 0.000 0.626
Bi 0.500 0.000 0.123

---

Entry 3:
The following is a PBE-GGA calculation of a relaxed PuPa2Bi9 crystal, from the Alexandria database.

- V (Å³/f.u.) = 355.5
- formation energy (eV per atom) = -0.1442

abc: 4.912 4.912 14.732
angles: 90.00 90.00 90.00
Fractional positions:
Bi 0.500 0.000 0.500
Bi 0.000 0.500 0.170
Bi 0.500 0.500 0.333
Pa 0.000 0.000 0.664
Bi 0.000 0.500 0.500
Bi 0.500 0.000 0.830
Bi 0.500 0.000 0.170
Bi 0.500 0.500 0.667
Pu 0.000 0.000 0.000
Pa 0.000 0.000 0.336
Bi 0.000 0.500 0.830
Bi 0.500 0.500 0.000

---

Entry 4:
The following is a PBE-GGA calculation of a relaxed PuPa2Bi crystal, from the Alexandria database.

- V (Å³/f.u.) = 108.4
- formation energy (eV per atom) = -0.0853

abc: 5.216 3.966 10.802
angles: 90.00 104.00 90.00
Fractional positions:
Pa 0.044 0.750 0.087
Pa 0.956 0.250 0.913
Bi 0.829 0.750 0.658
Bi 0.171 0.250 0.342
Pa 0.565 0.250 0.130
Pa 0.435 0.750 0.870
Pu 0.325 0.250 0.650
Pu 0.675 0.750 0.350

---

Entry 5:
The following is a PBE-GGA calculation of a relaxed PuPa2Bi crystal, from the Alexandria database.

- V (Å³/f.u.) = 105.9
- formation energy (eV per atom) = 0.0947

abc: 5.311 5.311 5.311
angles: 60.00 60.00 60.00
Fractional positions:
Pu 0.500 0.500 0.500
Pa 0.750 0.750 0.750
Bi 0.000 0.000 0.000
Pa 0.250 0.250 0.250

---

Entry 6:
The following is a PBE-GGA calculation of a relaxed PuPaBiSb crystal, from the Alexandria database.

- V (Å³/f.u.) = 124.9
- formation energy without anion corrections (eV per atom) = -0.37

abc: 4.452 4.452 6.301
angles: 90.00 90.00 90.00
Fractional positions:
Pa 0.500 0.500 0.000
Bi 0.500 0.500 0.500
Pu 0.000 0.000 0.500
Sb 0.000 0.000 0.000

---

Entry 7:
The following is a PBE-GGA calculation of a relaxed PuPaBiSb crystal, from the Alexandria database.

- V (Å³/f.u.) = 109.9
- formation energy without anion corrections (eV per atom) = -0.36

abc: 5.377 5.377 5.377
angles: 60.00 60.00 60.00
Fractional positions:
Bi 0.000 0.000 0.000
Sb 0.500 0.500 0.500
Pu 0.750 0.750 0.750
Pa 0.250 0.250 0.250

---

Entry 8:
The following is a PBE-GGA calculation of a relaxed PuSc2PaBi4 crystal, from the Alexandria database.

- V (Å³/f.u.) = 239.2
- formation energy (eV per atom) = -0.4397

abc: 4.387 7.608 7.596
angles: 109.35 90.00 90.00
Fractional positions:
Bi 0.500 0.746 0.732
Pu 0.500 0.500 0.000
Sc 0.000 0.500 0.500
Bi 0.000 0.242 0.733
Sc 0.500 0.000 0.500
Bi 0.500 0.254 0.268
Bi 0.000 0.758 0.267
Pa 0.000 0.000 0.000

---

Entry 9:
The following is a PBE-GGA calculation of a relaxed Sm2PuPaBi4 crystal, from the Alexandria database.

- V (Å³/f.u.) = 263.6
- formation energy (eV per atom) = -0.5739

abc: 4.521 7.839 7.878
angles: 109.24 90.00 90.00
Fractional positions:
Sm 0.500 0.000 0.500
Pu 0.500 0.500 0.000
Bi 0.000 0.248 0.754
Bi 0.500 0.246 0.246
Bi 0.000 0.752 0.246
Sm 0.000 0.500 0.500
Pa 0.000 0.000 0.000
Bi 0.500 0.754 0.754

---

Entry 10:
The following is a PBE-GGA calculation of a relaxed SmPu2PaBi5 crystal, from the Alexandria database.

- V (Å³/f.u.) = 382.6
- formation energy (eV per atom) = 0.2276

abc: 5.668 5.668 11.907
angles: 90.00 90.00 90.00
Fractional positions:
Bi 0.000 0.000 0.751
Pu 0.500 0.500 0.715
Bi 0.000 0.000 0.249
Bi 0.500 0.000 0.500
Pu 0.500 0.500 0.285
Sm 0.000 0.000 0.000
Bi 0.500 0.500 0.000
Bi 0.000 0.500 0.500
Pa 0.000 0.000 0.500

---

Entry 11:
The following is a PBE-GGA calculation of a relaxed TbPu2PaBi5 crystal, from the Alexandria database.

- V (Å³/f.u.) = 380.3
- formation energy (eV per atom) = 0.2426

abc: 5.672 5.672 11.820
angles: 90.00 90.00 90.00
Fractional positions:
Pa 0.000 0.000 0.500
Bi 0.000 0.000 0.752
Pu 0.500 0.500 0.714
Bi 0.000 0.000 0.248
Bi 0.500 0.000 0.500
Bi 0.500 0.500 0.000
Bi 0.000 0.500 0.500
Pu 0.500 0.500 0.286
Tb 0.000 0.000 0.000

---

Entry 12:
The following is a PBE-GGA calculation of a relaxed PuPaBiTe crystal, from the Alexandria database.

- V (Å³/f.u.) = 110.8
- formation energy without anion corrections (eV per atom) = -0.54

abc: 5.392 5.392 5.392
angles: 60.00 60.00 60.00
Fractional positions:
Pu 0.000 0.000 0.000
Bi 0.750 0.750 0.750
Te 0.250 0.250 0.250
Pa 0.500 0.500 0.500

---

Which value of V does entry 3 give? 355.5 Å³/f.u.